Below is a relaxed structure of Rb2InMoF6, with properties calculated at the PBE+U level.

Summary:
**Space group**: Fm-3m, No. 225
**Energy relative to the lowest polymorph listed for this composition**: 0.004 eV per atom
**Size of the total moment**: 3.00 μB per cell

Lattice parameters (Å, degrees): 6.642 6.642 6.644 60.01 60.01 90.00
Sites, in units of the cell vectors:
Mo1 0.500 0.500 0.000
F1 0.276 0.276 0.448
F2 0.724 0.724 0.552
F3 0.276 0.276 0.000
F4 0.724 0.724 0.000
F5 0.724 0.276 0.000
F6 0.276 0.724 0.000
Rb1 0.750 0.250 0.500
Rb2 0.250 0.750 0.500
In1 0.000 0.000 0.000